Entry 1:
Crystalline Sb2TeAuCl at its relaxed geometry. Source: Alexandria via LeMat-Bulk, functional PBE.

Computed properties:
E above lowest polymorph = 221 kJ/mol of formula units
crystal system = tetragonal
SG = P4/mmm
E_form (uncorrected) = 0.947 eV per atom

```
Sb2TeAuCl
1.0
5.259 0.000 0.000
0.000 5.259 0.000
0.000 0.000 5.506
Sb Te Au Cl
2 1 1 1
Direct
0.000 0.500 0.000 Sb
0.500 0.000 0.000 Sb
0.000 0.000 0.500 Te
0.500 0.500 0.500 Au
0.000 0.000 0.000 Cl
```

---

Entry 2:
Crystalline CeNiBi3 at its relaxed geometry. Source: Alexandria via LeMat-Bulk, functional PBE.

Computed properties:
formation energy from the elements = -0.83 eV/f.u.
crystal system = orthorhombic
SG = Cmmm

```
CeNiBi3
1.0
3.467 -8.160 0.000
3.467 8.160 0.000
0.000 0.000 4.977
Ce Ni Bi
2 2 6
Direct
0.137 0.863 0.000 Ce
0.863 0.137 0.000 Ce
0.395 0.605 0.500 Ni
0.605 0.395 0.500 Ni
0.000 0.500 0.500 Bi
0.222 0.222 0.500 Bi
0.353 0.647 0.000 Bi
0.500 0.000 0.500 Bi
0.647 0.353 0.000 Bi
0.778 0.778 0.500 Bi
```

---

Entry 3:
Crystalline Pr2BC at its relaxed geometry. Source: Alexandria via LeMat-Bulk, functional PBE.

Computed properties:
formation energy from the elements = -0.06 eV/f.u.
E above lowest polymorph = 101 kJ/mol of formula units
crystal system = monoclinic
SG = C2/m

```
Pr2BC
1.0
7.354 -1.848 0.000
7.354 1.848 0.000
-0.624 0.000 3.013
Pr B C
2 1 1
Direct
0.129 0.129 0.124 Pr
0.871 0.871 0.876 Pr
0.500 0.500 0.500 B
0.500 0.500 0.000 C
```

---

Calculated energy, -2.356 -4.838 -6.379 eV/atom (same order as the records).
Calculated DOS at the Fermi energy, 5.131 15.442 3.998 states/eV/cell (same order as the records).